No. 1
## SmEr2Pu (PBE)

Data for a relaxed SmEr2Pu crystal.

a = 4.950 Å, b = 4.966 Å, c = 4.966 Å
α = 90.00°, β = 90.00°, γ = 90.00°
Site moments in Bohr magnetons follow the coordinates.
Fractional positions:
Pu1 0.500 0.000 0.000  5.47
Er1 0.000 0.000 0.500  0.14
Er2 0.000 0.500 0.000  0.14
Sm1 0.500 0.500 0.500  0.04

## Properties
energy relative to the lowest polymorph listed for this composition: 44 meV/atom
V: 30.5 Å³ per atom
size of the total moment: 6.23 μB per formula unit
E: -6.90 eV per atom
formation energy from the elements: 140 meV per atom



No. 2
## CaPm2Al2Zn2 (PBE)

Data for a relaxed CaPm2Al2Zn2 crystal.

a = 4.576 Å, b = 4.576 Å, c = 9.879 Å
α = 76.61°, β = 76.61°, γ = 60.00°
Fractional positions:
Zn1 0.404 0.404 0.789
Zn2 0.596 0.596 0.211
Ca1 0.000 0.000 0.000
Pm1 0.872 0.872 0.383
Pm2 0.128 0.128 0.617
Al1 0.260 0.260 0.220
Al2 0.740 0.740 0.780

## Properties
V: 24.7 Å³ per atom
size of the total moment: 0.00 μB per formula unit
E: -3.35 eV per atom
formation energy from the elements: -276 meV per atom



No. 3
## NaF (PBE)

Data for a relaxed NaF crystal.

a = 6.292 Å, b = 6.292 Å, c = 6.292 Å
α = 90.00°, β = 90.00°, γ = 90.00°
Site moments in Bohr magnetons follow the coordinates.
Fractional positions:
Na1 0.500 0.750 0.000  0.00
Na2 0.000 0.500 0.750  0.00
Na3 0.000 0.500 0.250  0.00
Na4 0.250 0.000 0.500  0.00
Na5 0.500 0.250 0.000  0.00
Na6 0.750 0.000 0.500  0.00
F1 0.500 0.000 0.250  0.07
F2 0.250 0.500 0.000  0.07
F3 0.000 0.250 0.500  0.07
F4 0.750 0.500 0.000  0.07
F5 0.500 0.000 0.750  0.07
F6 0.000 0.750 0.500  0.07

## Properties
energy relative to the lowest polymorph listed for this composition: 93 meV/atom
V: 20.8 Å³ per atom
size of the total moment: 0.07 μB per formula unit
E: -4.23 eV per atom
formation energy (no corrections): -2.636 eV per atom



No. 4
## EuSiB (PBE)

Data for a relaxed EuSiB crystal.

a = 4.493 Å, b = 3.587 Å, c = 3.587 Å
α = 120.00°, β = 90.00°, γ = 90.00°
Site moments in Bohr magnetons follow the coordinates.
Fractional positions:
Eu1 0.667 0.333 0.667  6.76
Si1 0.167 0.000 0.000  -0.01
B1 0.167 0.667 0.333  -0.01

## Properties
V: 16.7 Å³ per atom
size of the total moment: 7.02 μB per formula unit
E: -7.88 eV per atom
formation energy (no corrections): -0.426 eV per atom



No. 5
## LiLaTl (PBE)

Data for a relaxed LiLaTl crystal.

a = 3.595 Å, b = 3.595 Å, c = 7.662 Å
α = 90.00°, β = 90.00°, γ = 120.00°
Fractional positions:
Tl1 0.667 0.333 0.635
Li1 0.333 0.667 0.369
La1 0.000 0.000 0.997

## Properties
energy relative to the lowest polymorph listed for this composition: 269 meV/atom
V: 28.6 Å³ per atom
size of the total moment: 0.00 μB per formula unit
E: -3.11 eV per atom
formation energy from the elements: -42 meV per atom



No. 6
## AcHf2S6 (PBE)

Data for a relaxed AcHf2S6 crystal.

a = 6.588 Å, b = 6.588 Å, c = 6.299 Å
α = 90.00°, β = 90.00°, γ = 120.00°
Fractional positions:
S1 0.376 0.000 0.733
S2 0.000 0.376 0.733
S3 0.376 0.376 0.267
S4 0.624 0.624 0.733
S5 0.000 0.624 0.267
S6 0.624 0.000 0.267
Hf1 0.667 0.333 0.500
Hf2 0.333 0.667 0.500
Ac1 0.000 0.000 0.000

## Properties
V: 26.3 Å³ per atom
size of the total moment: 0.00 μB per formula unit
E: -6.93 eV per atom
formation energy (no corrections): -1.508 eV per atom



no.,D(E_F) (states/eV/f.u.)
1,15.9
2,3.1
3,0.0
4,5.6
5,2.5
6,10.0